# CsHf3S5

Crystalline CsHf3S5 at its relaxed geometry (PBE, OQMD).

a b c (Å): 6.0283 6.0283 7.5167
angles (deg): 90.00 90.00 120.00
Last column: nearest neighbours and their distance in Å.
Space group P6/mmm (No. 191)
Inequivalent atoms, fractional coordinates:
Cs1 0.0000 0.0000 0.0000 [1 per cell]  14 S 3.76-3.97
Hf1 0.0000 0.5000 0.5000 [3 per cell]  4 S 2.54
S1 0.0000 0.0000 0.5000 [1 per cell]  6 Hf 3.01
S2 0.3333 0.6667 0.2545 [4 per cell]  3 Hf 2.54

Output
VASP energy (eV/atom): -7.01
ρ (g/cm3): 5.8
Total magnetic moment (μB per formula unit): 0.003